# 1
## Zr2VP (PBE-GGA)

Data for a relaxed Zr2VP crystal.

Computed properties:
Its total DFT energy (no corrections) is -7.899 eV per atom.

a b c (Å): 7.9427 7.9427 4.9405
angles (deg): 90.00 90.00 90.00
Space group I-42d (No. 122)
Inequivalent atoms, fractional coordinates:
Zr1 0.1866 0.7500 0.1250 x8
V1 0.0000 0.0000 0.5000 x4
P1 0.0000 0.0000 0.0000 x4

# 2
## Y2InAs (PBE-GGA)

Data for a relaxed Y2InAs crystal.

Computed properties:
The calculation puts the energy above the most stable polymorph in this dataset at 223.5 meV per atom. Its total DFT energy (no corrections) is -5.842 eV per atom.

a b c (Å): 4.5938 5.3700 8.2170
angles (deg): 90.00 90.00 90.00
Space group Cmmm (No. 65)
Inequivalent atoms, fractional coordinates:
Y1 0.0000 0.0000 0.2198 x4
In1 0.0000 0.5000 0.5000 x2
As1 0.0000 0.5000 0.0000 x2

# 3
## BaSiRu2 (PBE-GGA)

Data for a relaxed BaSiRu2 crystal.

Computed properties:
Its total DFT energy (no corrections) is -6.308 eV per atom. The uncorrected formation energy comes out at 166 meV/atom.

a b c (Å): 3.1205 4.2368 6.5183
angles (deg): 90.00 100.30 90.00
Space group Pm (No. 6)
Inequivalent atoms, fractional coordinates:
Ba1 0.0000 0.0000 0.0000 x1
Si1 0.3831 0.5000 0.6765 x1
Ru1 0.3368 0.0000 0.4871 x1
Ru2 0.7792 0.5000 0.3909 x1

# 4
## Ce5Sb3N (PBE-GGA)

Data for a relaxed Ce5Sb3N crystal.

Computed properties:
Its total DFT energy (no corrections) is -6.660 eV per atom. The uncorrected formation energy comes out at -1064 meV/atom.

a b c (Å): 9.2292 9.2292 6.3215
angles (deg): 90.00 90.00 120.00
Space group P6_3/mcm (No. 193)
Inequivalent atoms, fractional coordinates:
Ce1 0.0000 0.2181 0.2500 x6
Ce2 0.3333 0.6667 0.0000 x4
Sb1 0.0000 0.3965 0.7500 x6
N1 0.0000 0.0000 0.0000 x2

# 5
## CaTiNbPb2 (PBE-GGA)

Data for a relaxed CaTiNbPb2 crystal.

Computed properties:
Its total DFT energy (no corrections) is -3.795 eV per atom.

a b c (Å): 5.4868 5.4868 4.5232
angles (deg): 90.00 90.00 90.00
Space group P4/mmm (No. 123)
Inequivalent atoms, fractional coordinates:
Ca1 0.0000 0.0000 0.0000 x1
Ti1 0.0000 0.0000 0.5000 x1
Nb1 0.5000 0.5000 0.5000 x1
Pb1 0.0000 0.5000 0.0000 x2

# 6
## Cs2Pm2I7 (PBE-GGA)

Data for a relaxed Cs2Pm2I7 crystal.

Computed properties:
Its total DFT energy (no corrections) is -3.335 eV per atom. The uncorrected formation energy comes out at -1329 meV/atom.

a b c (Å): 13.7682 9.6334 8.3926
angles (deg): 90.00 97.43 90.00
Space group C2/m (No. 12)
Inequivalent atoms, fractional coordinates:
Cs1 0.0000 0.2226 0.0000 x4
Pm1 0.2378 0.0000 0.5434 x4
I1 0.0000 0.0000 0.5000 x2
I2 0.0535 0.5000 0.2958 x4
I3 0.2256 0.2856 0.7359 x8